This record from Alexandria via LeMat-Bulk describes a relaxed CrAgTeF2 crystal. The functional is GGA+U.

Fermi-level density of states ... 1.23 states/eV/f.u.
Calculated density ... 5.5 Mg/m³
Energy above the lowest structure with this stoichiometry ... 0.0 meV/atom
Symmetry ... P4/mmm, No. 123

Lattice parameters (Å, degrees): 3.991 3.991 6.135 90.00 90.00 90.00
Site moments in Bohr magnetons follow the coordinates.
Sites, in units of the cell vectors:
Cr (0.000, 0.000, 0.000)  3.55
Te (0.000, 0.000, 0.500)  -0.07
Ag (0.500, 0.500, 0.500)  0.00
F (0.000, 0.500, 0.000)  0.00
F (0.500, 0.000, 0.000)  0.00

This record from Alexandria via LeMat-Bulk describes a relaxed CrAgTeF2 crystal. The functional is GGA+U.

Fermi-level density of states ... 2.12 states/eV/f.u.
Calculated density ... 5.0 Mg/m³
Energy above the lowest structure with this stoichiometry ... 103.2 meV/atom
Symmetry ... P4/mmm, No. 123

Lattice parameters (Å, degrees): 3.961 6.923 3.961 90.00 90.00 90.00
Site moments in Bohr magnetons follow the coordinates.
Sites, in units of the cell vectors:
Cr (0.000, 0.000, 0.000)  3.71
Te (0.500, 0.500, 0.500)  0.09
Ag (0.000, 0.500, 0.000)  0.02
F (0.000, 0.000, 0.500)  -0.01
F (0.500, 0.000, 0.000)  0.02

This record from Alexandria via LeMat-Bulk describes a relaxed TiCrAgF6 crystal. The functional is GGA+U.

Fermi-level density of states ... 7.39 states/eV/f.u.
Calculated density ... 3.9 Mg/m³
Energy ... -5.7291 eV/atom
Symmetry ... P-31c, No. 163

Lattice parameters (Å, degrees): 5.650 5.650 9.917 90.00 90.00 120.00
Site moments in Bohr magnetons follow the coordinates.
Sites, in units of the cell vectors:
Ti (0.667, 0.333, 0.250)  0.71
Ti (0.333, 0.667, 0.750)  0.71
Cr (0.333, 0.667, 0.250)  4.07
Cr (0.667, 0.333, 0.750)  4.07
Ag (0.000, 0.000, 0.000)  0.01
Ag (0.000, 0.000, 0.500)  0.01
F (0.645, 0.615, 0.143)  -0.01
F (0.970, 0.355, 0.143)  -0.01
F (0.355, 0.970, 0.643)  -0.01
F (0.030, 0.645, 0.857)  -0.01
F (0.385, 0.355, 0.357)  -0.01
F (0.970, 0.615, 0.357)  -0.01
F (0.615, 0.970, 0.857)  -0.01
F (0.645, 0.030, 0.357)  -0.01
F (0.030, 0.385, 0.643)  -0.01
F (0.385, 0.030, 0.143)  -0.01
F (0.615, 0.645, 0.643)  -0.01
F (0.355, 0.385, 0.857)  -0.01

This record from Alexandria via LeMat-Bulk describes a relaxed Tl3Cr2AgF9 crystal. The functional is GGA+U.

Fermi-level density of states ... 4.02 states/eV/f.u.
Calculated density ... 6.7 Mg/m³
Energy ... -4.8781 eV/atom
Symmetry ... P-3m1, No. 164

Lattice parameters (Å, degrees): 6.076 6.076 7.682 90.00 90.00 120.00
Site moments in Bohr magnetons follow the coordinates.
Sites, in units of the cell vectors:
Tl (0.333, 0.667, 0.636)  0.01
Tl (0.000, 0.000, 0.000)  0.00
Tl (0.667, 0.333, 0.364)  0.01
Cr (0.333, 0.667, 0.147)  3.39
Cr (0.667, 0.333, 0.853)  3.39
Ag (0.000, 0.000, 0.500)  0.00
F (0.819, 0.181, 0.701)  -0.01
F (0.819, 0.638, 0.701)  -0.01
F (0.362, 0.181, 0.701)  -0.01
F (0.638, 0.819, 0.299)  -0.01
F (0.181, 0.362, 0.299)  -0.01
F (0.181, 0.819, 0.299)  -0.01
F (0.500, 0.000, 0.000)  -0.01
F (0.000, 0.500, 0.000)  -0.01
F (0.500, 0.500, 0.000)  -0.01

This record from Alexandria via LeMat-Bulk describes a relaxed Tl2CrAgF6 crystal. The functional is GGA+U.

Fermi-level density of states ... 0.00 states/eV/f.u.
Calculated density ... 6.7 Mg/m³
Energy ... -4.6966 eV/atom
Symmetry ... Fm-3m, No. 225

Lattice parameters (Å, degrees): 6.218 6.218 6.218 60.00 60.00 60.00
Site moments in Bohr magnetons follow the coordinates.
Sites, in units of the cell vectors:
Tl (0.750, 0.750, 0.750)  0.00
Tl (0.250, 0.250, 0.250)  0.00
Cr (0.000, 0.000, 0.000)  2.96
Ag (0.500, 0.500, 0.500)  -0.08
F (0.223, 0.777, 0.777)  -0.01
F (0.223, 0.777, 0.223)  -0.01
F (0.223, 0.223, 0.777)  -0.01
F (0.777, 0.777, 0.223)  -0.01
F (0.777, 0.223, 0.223)  -0.01
F (0.777, 0.223, 0.777)  -0.01

This record from Alexandria via LeMat-Bulk describes a relaxed TlCrAg2F crystal. The functional is GGA+U.

Fermi-level density of states ... 5.31 states/eV/f.u.
Calculated density ... 5.2 Mg/m³
Energy ... -2.9238 eV/atom
Symmetry ... P4/mmm, No. 123

Lattice parameters (Å, degrees): 5.298 5.543 5.298 90.00 90.00 90.00
Site moments in Bohr magnetons follow the coordinates.
Sites, in units of the cell vectors:
Cr (0.000, 0.500, 0.000)  4.42
Tl (0.000, 0.000, 0.000)  0.01
Ag (0.000, 0.000, 0.500)  -0.02
Ag (0.500, 0.000, 0.000)  -0.02
F (0.500, 0.500, 0.500)  -0.04

This record from Alexandria via LeMat-Bulk describes a relaxed TlCrAgF6 crystal. The functional is GGA+U.

Fermi-level density of states ... 2.46 states/eV/f.u.
Calculated density ... 5.6 Mg/m³
Energy ... -4.6596 eV/atom
Symmetry ... P-31c, No. 163

Lattice parameters (Å, degrees): 6.003 6.003 9.039 90.00 90.00 120.00
Site moments in Bohr magnetons follow the coordinates.
Sites, in units of the cell vectors:
Tl (0.333, 0.667, 0.250)  -0.25
Tl (0.667, 0.333, 0.750)  -0.25
Cr (0.667, 0.333, 0.250)  2.89
Cr (0.333, 0.667, 0.750)  2.89
Ag (0.000, 0.000, 0.000)  -0.04
Ag (0.000, 0.000, 0.500)  -0.04
F (0.671, 0.606, 0.131)  -0.06
F (0.935, 0.329, 0.131)  -0.06
F (0.329, 0.935, 0.631)  -0.06
F (0.065, 0.671, 0.869)  -0.06
F (0.394, 0.329, 0.369)  -0.06
F (0.935, 0.606, 0.369)  -0.06
F (0.606, 0.935, 0.869)  -0.06
F (0.671, 0.065, 0.369)  -0.06
F (0.065, 0.394, 0.631)  -0.06
F (0.394, 0.065, 0.131)  -0.06
F (0.606, 0.671, 0.631)  -0.06
F (0.329, 0.394, 0.869)  -0.06

This record from Alexandria via LeMat-Bulk describes a relaxed TmCrAgF6 crystal. The functional is GGA+U.

Fermi-level density of states ... 6.33 states/eV/f.u.
Calculated density ... 5.0 Mg/m³
Energy ... -5.6820 eV/atom
Symmetry ... P-31c, No. 163

Lattice parameters (Å, degrees): 5.799 5.799 10.002 90.00 90.00 120.00
Site moments in Bohr magnetons follow the coordinates.
Sites, in units of the cell vectors:
Tm (0.667, 0.333, 0.250)  0.00
Tm (0.333, 0.667, 0.750)  0.00
Cr (0.333, 0.667, 0.250)  3.83
Cr (0.667, 0.333, 0.750)  3.83
Ag (0.000, 0.000, 0.000)  0.01
Ag (0.000, 0.000, 0.500)  0.01
F (0.633, 0.636, 0.140)  0.00
F (0.003, 0.367, 0.140)  0.00
F (0.367, 0.003, 0.640)  0.00
F (0.997, 0.633, 0.860)  0.00
F (0.364, 0.367, 0.360)  0.00
F (0.003, 0.636, 0.360)  0.00
F (0.636, 0.003, 0.860)  0.00
F (0.633, 0.997, 0.360)  0.00
F (0.997, 0.364, 0.640)  0.00
F (0.364, 0.997, 0.140)  0.00
F (0.636, 0.633, 0.640)  0.00
F (0.367, 0.364, 0.860)  0.00

This record from Alexandria via LeMat-Bulk describes a relaxed VCrAgF6 crystal. The functional is GGA+U.

Calculated density ... 4.1 Mg/m³
Energy ... -5.5401 eV/atom
Symmetry ... P4_2nm, No. 102

Lattice parameters (Å, degrees): 5.173 5.173 9.811 90.00 90.00 90.00
Site moments in Bohr magnetons follow the coordinates.
Sites, in units of the cell vectors:
V (0.500, 0.500, 0.830)  1.97
V (0.000, 0.000, 0.330)  1.97
Cr (0.500, 0.500, 0.166)  3.79
Cr (0.000, 0.000, 0.666)  3.79
Ag (0.500, 0.500, 0.496)  0.00
Ag (0.000, 0.000, 0.996)  0.00
F (0.168, 0.832, 0.494)  -0.01
F (0.832, 0.168, 0.494)  -0.01
F (0.332, 0.332, 0.994)  -0.01
F (0.668, 0.668, 0.994)  -0.01
F (0.197, 0.803, 0.201)  0.00
F (0.803, 0.197, 0.201)  0.00
F (0.303, 0.303, 0.701)  0.00
F (0.697, 0.697, 0.701)  0.00
F (0.783, 0.217, 0.809)  0.01
F (0.217, 0.783, 0.809)  0.01
F (0.717, 0.717, 0.309)  0.01
F (0.283, 0.283, 0.309)  0.01

This record from Alexandria via LeMat-Bulk describes a relaxed YCrAgF6 crystal. The functional is GGA+U.

Fermi-level density of states ... 6.58 states/eV/f.u.
Calculated density ... 4.1 Mg/m³
Energy ... -5.8669 eV/atom
Symmetry ... P-31c, No. 163

Lattice parameters (Å, degrees): 5.872 5.872 9.885 90.00 90.00 120.00
Site moments in Bohr magnetons follow the coordinates.
Sites, in units of the cell vectors:
Y (0.667, 0.333, 0.250)  0.01
Y (0.333, 0.667, 0.750)  0.01
Cr (0.333, 0.667, 0.250)  3.82
Cr (0.667, 0.333, 0.750)  3.82
Ag (0.000, 0.000, 0.000)  0.01
Ag (0.000, 0.000, 0.500)  0.01
F (0.631, 0.641, 0.139)  0.00
F (0.009, 0.369, 0.139)  0.00
F (0.369, 0.009, 0.639)  0.00
F (0.991, 0.631, 0.861)  0.00
F (0.359, 0.369, 0.361)  0.00
F (0.009, 0.641, 0.361)  0.00
F (0.641, 0.009, 0.861)  0.00
F (0.631, 0.991, 0.361)  0.00
F (0.991, 0.359, 0.639)  0.00
F (0.359, 0.991, 0.139)  0.00
F (0.641, 0.631, 0.639)  0.00
F (0.369, 0.359, 0.861)  0.00

This record from Alexandria via LeMat-Bulk describes a relaxed Zn2CrAgF8 crystal. The functional is GGA+U.

Fermi-level density of states ... 2.56 states/eV/f.u.
Calculated density ... 4.3 Mg/m³
Energy ... -4.3415 eV/atom
Symmetry ... I-4m2, No. 119

Lattice parameters (Å, degrees): 6.041 6.041 6.041 108.79 108.79 110.84
Site moments in Bohr magnetons follow the coordinates.
Sites, in units of the cell vectors:
Zn (0.750, 0.250, 0.500)  -0.01
Zn (0.500, 0.500, 0.000)  -0.01
Cr (0.000, 0.000, 0.000)  3.21
Ag (0.250, 0.750, 0.500)  -0.21
F (0.355, 0.072, 0.283)  0.00
F (0.287, 0.465, 0.178)  -0.02
F (0.287, 0.109, 0.822)  -0.02
F (0.789, 0.072, 0.717)  0.00
F (0.891, 0.713, 0.178)  -0.02
F (0.928, 0.211, 0.283)  0.00
F (0.928, 0.645, 0.717)  0.00
F (0.535, 0.713, 0.822)  -0.02

This record from Alexandria via LeMat-Bulk describes a relaxed ZnCrAg2F6 crystal. The functional is GGA+U.

Fermi-level density of states ... 0.15 states/eV/f.u.
Calculated density ... 5.4 Mg/m³
Energy ... -4.4181 eV/atom
Symmetry ... P-1, No. 2

Lattice parameters (Å, degrees): 5.843 5.702 5.826 61.15 58.55 61.26
Site moments in Bohr magnetons follow the coordinates.
Sites, in units of the cell vectors:
Zn (0.316, 0.316, 0.052)  0.01
Cr (0.816, 0.816, 0.551)  3.80
Ag (0.566, 0.576, 0.302)  0.00
Ag (0.066, 0.056, 0.801)  0.00
F (0.542, 0.190, 0.282)  0.01
F (0.122, 0.003, 0.356)  0.00
F (0.003, 0.622, 0.253)  0.00
F (0.510, 0.630, 0.747)  0.00
F (0.630, 0.010, 0.850)  0.00
F (0.090, 0.443, 0.822)  0.01

> Look up the calculated density of the fifth one.

6.7 Mg/m³

> Which of these has the lowest calculated density?

TiCrAgF6

> Look up the calculated density of the twelfth one.

5.4 Mg/m³

> Look up the calculated density of the twelfth one.

5.4 Mg/m³